1.
# La2HgMoAs

La2HgMoAs after structural relaxation (PBE-GGA, Alexandria via LeMat-Bulk).

Properties
ΔE_f = 968 meV/atom

The structure in POSCAR format:
```
La2HgMoAs
1.0
5.945 0.000 0.000
0.000 5.010 0.000
0.000 0.000 5.945
As Mo Hg La
1 1 1 2
Direct
0.000 0.500 0.000 As
0.500 0.500 0.500 Mo
0.000 0.000 0.000 Hg
0.000 0.000 0.500 La
0.500 0.000 0.000 La
```

2.
# La2Ni3HgAs4

La2Ni3HgAs4 after structural relaxation (PBE-GGA, Alexandria via LeMat-Bulk).

Properties
ΔE_f = -696 meV/atom

The structure in POSCAR format:
```
La2Ni3HgAs4
1.0
-0.344 -4.158 1.252
4.271 -0.551 -0.657
1.802 2.697 9.455
La Ni Hg As
2 3 1 4
Direct
0.500 0.000 0.235 La
0.000 0.500 0.765 La
0.000 0.000 0.500 Ni
0.500 0.000 0.895 Ni
0.000 0.500 0.105 Ni
0.500 0.500 0.500 Hg
0.500 0.500 0.000 As
0.000 0.000 0.000 As
0.500 0.000 0.657 As
0.000 0.500 0.343 As
```

3.
# La2HgAs4Pd3

La2HgAs4Pd3 after structural relaxation (PBE-GGA, Alexandria via LeMat-Bulk).

Properties
ΔE_f = -780 meV/atom

The structure in POSCAR format:
```
La2HgAs4Pd3
1.0
4.542 0.000 0.000
0.000 4.542 0.000
0.000 0.000 10.242
La Hg As Pd
2 1 4 3
Direct
0.500 0.000 0.237 La
0.000 0.500 0.763 La
0.500 0.500 0.500 Hg
0.500 0.500 0.000 As
0.000 0.000 0.000 As
0.500 0.000 0.647 As
0.000 0.500 0.353 As
0.000 0.000 0.500 Pd
0.500 0.000 0.888 Pd
0.000 0.500 0.112 Pd
```

4.
# La2HgAs3Pt4

La2HgAs3Pt4 after structural relaxation (PBE-GGA, Alexandria via LeMat-Bulk).

Properties
ΔE_f = -812 meV/atom

The structure in POSCAR format:
```
La2HgAs3Pt4
1.0
-2.826 3.334 0.230
-1.916 -1.863 3.466
6.793 5.303 6.605
La Hg As Pt
2 1 3 4
Direct
0.500 0.000 0.237 La
0.000 0.500 0.763 La
0.500 0.500 0.500 Hg
0.000 0.000 0.500 As
0.500 0.000 0.875 As
0.000 0.500 0.125 As
0.500 0.500 0.000 Pt
0.000 0.000 0.000 Pt
0.500 0.000 0.653 Pt
0.000 0.500 0.347 Pt
```

Number 1: DFT total energy -20.80 eV per cell, M_tot 3.86 μB per cell. Number 2: DFT total energy -53.06 eV per cell, M_tot 0.00 μB per cell. Number 3: DFT total energy -52.13 eV per cell, M_tot 0.00 μB per cell. Number 4: DFT total energy -56.39 eV per cell, M_tot 0.00 μB per cell.